A relaxed Li3AgBi3 crystal, computed with GGA-PBE.

a b c (Å): 8.4831 13.8873 6.1925
angles (deg): 90.00 106.81 90.00
With the nearest neighbours (Å) after each atom.
Space group C2/m (No. 12)
Asymmetric unit:
Li1 0.0000 0.1294 0.0000 x4  2 Ag 2.77, 4 Bi 2.90-2.91, 2 Li 3.10
Li2 0.0000 0.1440 0.5000 x4  4 Bi 2.96, 2 Ag 2.97, 2 Li 3.10
Li3 0.0027 0.5000 0.7698 x4  2 Bi 2.81-3.12, 2 Ag 2.84-3.06, 1 Li 2.86
Ag1 0.1842 0.0000 0.8325 x4  6 Li 2.77-3.06, 3 Bi 2.98-3.08
Bi1 0.1768 0.3038 0.1829 x8  3 Li 2.90-3.18, 1 Ag 2.98, 2 Bi 3.19-3.24
Bi2 0.1993 0.0000 0.3414 x4  6 Li 2.81-3.12, 3 Ag 3.08-3.12

Values from the calculation:
Energy = -0.226 Ry/atom
Calculated formation energy = -128 kJ/mol of formula units

---

A relaxed Sr2ThAu4 crystal, computed with GGA-PBE.

a b c (Å): 5.3791 5.3791 13.9870
angles (deg): 90.00 90.00 90.00
With the nearest neighbours (Å) after each atom.
Space group I4/mmm (No. 139)
Asymmetric unit:
Sr1 0.0000 0.0000 0.2229 x4  4 Au 3.14
Th1 0.0000 0.0000 0.5000 x2  8 Au 3.08
Au1 0.0000 0.5000 0.1067 x8  1 Au 2.98, 2 Th 3.08, 2 Sr 3.14

Values from the calculation:
Energy = -0.292 Ry/atom
Calculated formation energy = -377 kJ/mol of formula units

---

A relaxed Lu2TcIr crystal, computed with GGA-PBE.

a b c (Å): 4.7717 4.7717 3.3162
angles (deg): 90.00 90.00 90.00
With the nearest neighbours (Å) after each atom.
Space group P4/mmm (No. 123)
Asymmetric unit:
Lu1 0.0000 0.5000 0.0000 x2  4 Tc 2.91, 4 Ir 2.91
Tc1 0.0000 0.0000 0.5000 x1  8 Lu 2.91
Ir1 0.5000 0.5000 0.5000 x1  8 Lu 2.91

Values from the calculation:
Energy = -0.553 Ry/atom
Calculated formation energy = -177 kJ/mol of formula units

---

A relaxed TbY3Ho7 crystal, computed with GGA-PBE.

a b c (Å): 6.9712 5.5120 9.8746
angles (deg): 90.00 110.45 90.00
With the nearest neighbours (Å) after each atom.
Space group P2/m (No. 10)
Asymmetric unit:
Tb1 0.0000 0.0000 0.0000 x1  2 Y 3.49, 10 Ho 3.51-3.79
Y1 0.2214 0.5000 0.5011 x2  1 Y 3.08, 4 Ho 3.33-3.37
Y2 0.5000 0.0000 0.0000 x1  2 Tb 3.49, 10 Ho 3.51-3.79
Ho1 0.0831 0.0000 0.6695 x2  3 Ho 3.14-3.26, 1 Tb 3.51
Ho2 0.1796 0.5000 0.8586 x2  5 Ho 3.23-3.54, 2 Tb 3.51, 2 Y 3.51
Ho3 0.3528 0.5000 0.2080 x2  3 Ho 3.23-3.54, 2 Y 3.33
Ho4 0.5000 0.0000 0.5000 x1  4 Y 3.37

Values from the calculation:
Energy = -0.363 Ry/atom
Calculated formation energy = 166 kJ/mol of formula units

---

A relaxed TiCu2Pt5 crystal, computed with GGA-PBE.

a b c (Å): 5.4963 10.9571 3.9341
angles (deg): 90.00 90.00 90.00
With the nearest neighbours (Å) after each atom.
Space group Pbam (No. 55)
Asymmetric unit:
Ti1 0.0000 0.0000 0.0000 x2  8 Pt 2.62-2.75, 4 Cu 2.85
Cu1 0.2285 0.3697 0.5000 x4  10 Pt 2.67-2.80, 2 Ti 2.85
Pt1 0.0000 0.5000 0.0000 x2  4 Cu 2.74, 2 Ti 2.75, 6 Pt 2.75-2.87
Pt2 0.0236 0.7614 0.0000 x4  1 Ti 2.62, 4 Cu 2.67-2.80, 7 Pt 2.76-2.87
Pt3 0.2350 0.1152 0.5000 x4  2 Ti 2.67, 4 Cu 2.70-2.79, 6 Pt 2.75-2.86

Values from the calculation:
Energy = -0.458 Ry/atom
Calculated formation energy = -347 kJ/mol of formula units

---

A relaxed Tb2NdSm crystal, computed with GGA-PBE.

a b c (Å): 3.6089 3.6089 35.2200
angles (deg): 90.00 90.00 120.00
With the nearest neighbours (Å) after each atom.
Space group R-3m (No. 166, hexagonal axes)
Asymmetric unit:
Tb1 0.0000 0.0000 0.2505 x6  3 Sm 3.59, 6 Tb 3.61, 3 Nd 3.61
Nd1 0.0000 0.0000 0.5000 x3  6 Nd 3.61, 6 Tb 3.61
Sm1 0.0000 0.0000 0.0000 x3  6 Tb 3.59, 6 Sm 3.61

Values from the calculation:
Energy = -0.344 Ry/atom
Calculated formation energy = 5 kJ/mol of formula units

---

A relaxed LaCdAs2Br crystal, computed with GGA-PBE.

a b c (Å): 5.0949 5.0949 5.5120
angles (deg): 90.00 90.00 90.00
With the nearest neighbours (Å) after each atom.
Space group P4/mmm (No. 123)
Asymmetric unit:
La1 0.0000 0.0000 0.0000 x1  4 Br 3.60, 8 As 3.75
Cd1 0.5000 0.5000 0.5000 x1  4 As 2.55, 2 Br 2.76
As1 0.0000 0.5000 0.5000 x2  2 Cd 2.55
Br1 0.5000 0.5000 0.0000 x1  2 Cd 2.76

Values from the calculation:
Energy = -0.266 Ry/atom
ΔE_f (raw) = -25 kJ per mole of atoms

---

A relaxed HfC3I crystal, computed with GGA-PBE.

a b c (Å): 4.0709 4.0709 4.0709
angles (deg): 90.00 90.00 90.00
With the nearest neighbours (Å) after each atom.
Space group Pm-3m (No. 221)
Asymmetric unit:
Hf1 0.0000 0.0000 0.0000 x1  12 C 2.88
C1 0.0000 0.5000 0.5000 x3  2 I 2.04
I1 0.5000 0.5000 0.5000 x1  6 C 2.04

Values from the calculation:
Energy = -0.380 Ry/atom
ΔE_f (raw) = 258 kJ per mole of atoms

---

Q: The lowest energy belongs to which entry?
A: Lu2TcIr

---

Q: Among the records above, which one has the lowest energy?
A: Lu2TcIr

---

What did the third record say?
A relaxed Lu2TcIr crystal, computed with GGA-PBE.

a b c (Å): 4.7717 4.7717 3.3162
angles (deg): 90.00 90.00 90.00
With the nearest neighbours (Å) after each atom.
Space group P4/mmm (No. 123)
Asymmetric unit:
Lu1 0.0000 0.5000 0.0000 x2  4 Tc 2.91, 4 Ir 2.91
Tc1 0.0000 0.0000 0.5000 x1  8 Lu 2.91
Ir1 0.5000 0.5000 0.5000 x1  8 Lu 2.91

Values from the calculation:
Energy = -0.553 Ry/atom
Calculated formation energy = -177 kJ/mol of formula units